Density functional theory data (PBE) for a relaxed SmAlGa2 crystal.

Cell: 4.517 6.439 6.439 Å, 120.14 90.00 90.00°
Sites, in units of the cell vectors:
1 Ga 0.250 0.287 0.144
2 Al 0.250 0.858 0.720
3 Ga 0.250 0.853 0.141
4 Ga 0.750 0.144 0.287
5 Al 0.750 0.720 0.858
6 Ga 0.750 0.141 0.853
7 Sm 0.250 0.331 0.666
8 Sm 0.750 0.666 0.331

Computed properties:
Energy, eV for the cell shown: -33.259
V, Å³/atom: 20.245